--- one ---
Below is CsBi2Se2 after structural relaxation, with properties calculated at the PBE level.

abc: 8.1466 8.1466 8.1466
angles: 146.13 146.13 48.66
With the nearest neighbours (Å) after each atom.
Sites, in units of the cell vectors:
Cs: 0.0000 0.0000 0.0000  8 Se 3.59
Bi: 0.2500 0.7500 0.5000  4 Bi 3.36, 4 Se 3.40
Bi: 0.7500 0.2500 0.5000  4 Bi 3.36, 4 Se 3.40
Se: 0.4139 0.4139 0.0000  1 Se 2.56
Se: 0.5861 0.5861 0.0000  1 Se 2.56

M_tot ... 0.0000 μB/atom
Space-group type ... I4/mmm, No. 139

=====

--- two ---
Below is CsBi2Se2 after structural relaxation, with properties calculated at the PBE level.

abc: 9.7956 9.7956 3.9907
angles: 90.00 90.00 90.00
With the nearest neighbours (Å) after each atom.
Sites, in units of the cell vectors:
Cs: 0.0000 0.0000 0.0000  4 Se 3.62, 2 Cs 3.99
Cs: 0.5000 0.5000 0.0000  4 Se 3.62, 2 Cs 3.99
Bi: 0.1888 0.3112 0.5000  2 Se 2.75
Bi: 0.3112 0.8112 0.5000  2 Se 2.75
Bi: 0.6888 0.1888 0.5000  2 Se 2.75
Bi: 0.8112 0.6888 0.5000  2 Se 2.75
Se: 0.1745 0.6745 0.0000  2 Bi 2.75
Se: 0.3255 0.1745 0.0000  2 Bi 2.75
Se: 0.6745 0.8255 0.0000  2 Bi 2.75
Se: 0.8255 0.3255 0.0000  2 Bi 2.75

M_tot ... 0.0000 μB/atom
Space-group type ... P4/mbm, No. 127

=====

Stability ranking, top entry: one; the second entry is 27 meV/atom less favorable.

=====

--- one ---
Below is CsSi2Bi2 after structural relaxation, with properties calculated at the PBE level.

abc: 6.5178 6.5178 6.5178
angles: 130.71 130.71 72.28
With the nearest neighbours (Å) after each atom.
Sites, in units of the cell vectors:
Cs: 0.0000 0.0000 0.0000  8 Bi 3.78, 10 Si 3.99-4.05
Si: 0.3793 0.3793 0.0000  1 Si 2.54
Si: 0.6207 0.6207 0.0000  1 Si 2.54
Bi: 0.2500 0.7500 0.5000  4 Si 3.04
Bi: 0.7500 0.2500 0.5000  4 Si 3.04

M_tot ... 0.0000 μB/atom
Space-group type ... I4/mmm, No. 139

=====

--- two ---
Below is CsSi2Bi2 after structural relaxation, with properties calculated at the PBE level.

abc: 7.6979 7.6979 7.6979
angles: 141.52 141.52 55.56
With the nearest neighbours (Å) after each atom.
Sites, in units of the cell vectors:
Cs: 0.0000 0.0000 0.0000  8 Bi 4.14, 8 Si 4.25
Si: 0.2500 0.7500 0.5000  4 Bi 2.87
Si: 0.7500 0.2500 0.5000  4 Bi 2.87
Bi: 0.3479 0.3479 0.0000  4 Si 2.87
Bi: 0.6521 0.6521 0.0000  4 Si 2.87

M_tot ... 0.0000 μB/atom
Space-group type ... I4/mmm, No. 139

=====

Stability ranking, top entry: two; the second entry is 55 meV/atom less favorable.

=====

--- one ---
Below is CsSiBi3 after structural relaxation, with properties calculated at the PBE level.

abc: 5.6793 5.6793 5.6793
angles: 90.00 90.00 90.00
With the nearest neighbours (Å) after each atom.
Sites, in units of the cell vectors:
Cs: 0.0000 0.0000 0.0000  12 Bi 4.02
Si: 0.5000 0.5000 0.5000  6 Bi 2.84
Bi: 0.0000 0.5000 0.5000  2 Si 2.84
Bi: 0.5000 0.0000 0.5000  2 Si 2.84
Bi: 0.5000 0.5000 0.0000  2 Si 2.84

M_tot ... 0.0000 μB/atom
Space-group type ... Pm-3m, No. 221

=====

--- two ---
Below is CsSiBi3 after structural relaxation, with properties calculated at the PBE level.

abc: 6.2160 6.2160 6.2160
angles: 90.00 90.00 90.00
With the nearest neighbours (Å) after each atom.
Sites, in units of the cell vectors:
Cs: 0.0000 0.0000 0.0000  6 Bi 3.11
Si: 0.5000 0.5000 0.5000  12 Bi 4.40
Bi: 0.0000 0.0000 0.5000  2 Cs 3.11
Bi: 0.0000 0.5000 0.0000  2 Cs 3.11
Bi: 0.5000 0.0000 0.0000  2 Cs 3.11

M_tot ... 0.0000 μB/atom
Space-group type ... Pm-3m, No. 221

=====

Stability ranking, top entry: one; the second entry is 1533 meV/atom less favorable.

=====

--- one ---
Below is Cs3SiBi after structural relaxation, with properties calculated at the PBE level.

abc: 4.0042 11.0783 11.3280
angles: 63.37 79.90 89.92
With the nearest neighbours (Å) after each atom.
Sites, in units of the cell vectors:
Cs: 0.0799 0.4812 0.3436  5 Cs 3.70-4.00, 2 Si 3.75, 2 Bi 4.09-4.10
Cs: 0.0883 0.1483 0.3209  4 Cs 3.81-4.00, 2 Bi 4.01, 1 Si 4.08
Cs: 0.2323 0.8187 0.0333  3 Cs 3.77-4.00, 3 Si 3.85-4.18, 2 Bi 4.04
Cs: 0.7677 0.1813 0.9667  3 Cs 3.77-4.00, 3 Si 3.85-4.18, 2 Bi 4.04
Cs: 0.9117 0.8517 0.6791  4 Cs 3.81-4.00, 2 Bi 4.01, 1 Si 4.08
Cs: 0.9201 0.5188 0.6564  5 Cs 3.70-4.00, 2 Si 3.75, 2 Bi 4.09-4.10
Si: 0.2724 0.4835 0.9549  2 Si 2.34
Si: 0.7276 0.5165 0.0451  2 Si 2.34
Bi: 0.4230 0.1761 0.6543  2 Bi 4.00, 11 Cs 4.01-4.36
Bi: 0.5770 0.8239 0.3457  2 Bi 4.00, 11 Cs 4.01-4.36

M_tot ... 0.0000 μB/atom
Space-group type ... P-1, No. 2

=====

--- two ---
Below is Cs3SiBi after structural relaxation, with properties calculated at the PBE level.

abc: 7.4085 7.4085 7.4085
angles: 90.00 90.00 90.00
With the nearest neighbours (Å) after each atom.
Sites, in units of the cell vectors:
Cs: 0.0000 0.0000 0.5000  2 Bi 3.70
Cs: 0.0000 0.5000 0.0000  2 Bi 3.70
Cs: 0.5000 0.0000 0.0000  2 Bi 3.70
Si: 0.5000 0.5000 0.5000  12 Cs 5.24
Bi: 0.0000 0.0000 0.0000  6 Cs 3.70

M_tot ... 0.7960 μB/atom
Space-group type ... Pm-3m, No. 221

=====

Stability ranking, top entry: one; the second entry is 559 meV/atom less favorable.

=====

--- one ---
Below is CsSmBi2 after structural relaxation, with properties calculated at the PBE level.

abc: 9.7294 9.7294 9.7294
angles: 27.62 27.62 27.62
With the nearest neighbours (Å) after each atom.
Sites, in units of the cell vectors:
Cs: 0.0000 0.0000 0.0000  6 Bi 3.96
Sm: 0.5000 0.5000 0.5000  6 Bi 3.21
Bi: 0.2295 0.2295 0.2295  3 Sm 3.21
Bi: 0.7705 0.7705 0.7705  3 Sm 3.21

M_tot ... 0.0000 μB/atom
Space-group type ... R-3m, No. 166

=====

--- two ---
Below is CsSmBi2 after structural relaxation, with properties calculated at the PBE level.

abc: 4.3216 4.3216 8.4053
angles: 90.00 90.00 90.00
With the nearest neighbours (Å) after each atom.
Sites, in units of the cell vectors:
Cs: 0.0000 0.0000 0.0000  8 Bi 4.06, 2 Sm 4.20, 4 Cs 4.32
Sm: 0.0000 0.0000 0.5000  8 Bi 3.42
Bi: 0.5000 0.5000 0.3173  1 Bi 3.07, 4 Sm 3.42
Bi: 0.5000 0.5000 0.6827  1 Bi 3.07, 4 Sm 3.42

M_tot ... 0.0000 μB/atom
Space-group type ... P4/mmm, No. 123

=====

Stability ranking, top entry: two; the second entry is 149 meV/atom less favorable.

=====

--- one ---
Below is CsSn2Bi2 after structural relaxation, with properties calculated at the PBE level.

abc: 7.6782 7.6782 7.6782
angles: 137.82 137.82 61.18
With the nearest neighbours (Å) after each atom.
Sites, in units of the cell vectors:
Cs: 0.0000 0.0000 0.0000  8 Bi 4.30, 8 Sn 4.31
Sn: 0.2500 0.7500 0.5000  4 Bi 3.15
Sn: 0.7500 0.2500 0.5000  4 Bi 3.15
Bi: 0.3647 0.3647 0.0000  4 Sn 3.15
Bi: 0.6353 0.6353 0.0000  4 Sn 3.15

M_tot ... 0.0000 μB/atom
Space-group type ... I4/mmm, No. 139

=====

--- two ---
Below is CsSn2Bi2 after structural relaxation, with properties calculated at the PBE level.

abc: 9.4994 9.4994 4.0295
angles: 90.00 90.00 90.00
With the nearest neighbours (Å) after each atom.
Sites, in units of the cell vectors:
Cs: 0.0000 0.0000 0.0000  4 Sn 3.78, 2 Cs 4.03, 8 Bi 4.15
Cs: 0.5000 0.5000 0.0000  4 Sn 3.78, 2 Cs 4.03, 8 Bi 4.15
Sn: 0.1204 0.3796 0.0000  1 Sn 3.23, 4 Bi 3.26
Sn: 0.3796 0.8796 0.0000  1 Sn 3.23, 4 Bi 3.26
Sn: 0.6204 0.1204 0.0000  1 Sn 3.23, 4 Bi 3.26
Sn: 0.8796 0.6204 0.0000  1 Sn 3.23, 4 Bi 3.26
Bi: 0.1485 0.6485 0.5000  4 Sn 3.26
Bi: 0.3515 0.1485 0.5000  4 Sn 3.26
Bi: 0.6485 0.8515 0.5000  4 Sn 3.26
Bi: 0.8515 0.3515 0.5000  4 Sn 3.26

M_tot ... 0.0000 μB/atom
Space-group type ... P4/mbm, No. 127

=====

Stability ranking, top entry: one; the second entry is 81 meV/atom less favorable.